1.
ScTaTe2 PBE-GGA optimized geometry; space group = R-3m (166); total energy = -6.2926 eV per atom; raw formation energy = -0.176 eV per atom; excess energy over the best structure of this formula in the dataset = 0.3643 eV per atom
1.0
1.800 1.039 8.323
-1.800 1.039 8.323
0.000 -2.078 8.323
Sc Ta Te
1 1 2
direct
0.000 0.000 0.000
0.500 0.500 0.500
0.245 0.245 0.245
0.755 0.755 0.755

2.
Rb2BeC PBE-GGA optimized geometry; ΔE_f = 566.9 meV/atom; space group = I-42d (122); total energy = -3.1544 eV per atom; excess energy over the best structure of this formula in the dataset = 0.0000 eV per atom
1.0
-6.209 6.209 1.685
6.209 -6.209 1.685
6.209 6.209 -1.685
Rb Be C
4 2 2
direct
0.375 0.117 0.242
0.867 0.625 0.742
0.875 0.133 0.758
0.883 0.125 0.258
0.250 0.750 0.500
0.500 0.500 0.000
0.000 0.000 0.000
0.750 0.250 0.500